(1)
V2Cr6Ge | PBE-GGA | relaxed Values from VASP.

Calculated values
Volume   12.18 Å³ per atom
Electronic total energy   -81.1 eV per cell

Geometry as Quantum ESPRESSO input:
```
&SYSTEM
  ibrav = 0, nat = 9, ntyp = 3
/
ATOMIC_SPECIES
V 50.94 V.upf
Cr 52.00 Cr.upf
Ge 72.64 Ge.upf
CELL_PARAMETERS angstrom
5.9553 -2.0583 0.0000
5.9553 2.0583 0.0000
-1.6971 0.0000 4.4713
ATOMIC_POSITIONS angstrom
V 1.2328 0.0000 0.3249
V 8.9806 0.0000 4.1463
Cr 1.6418 0.0000 2.7989
Cr 3.6809 0.0000 0.7748
Cr 4.0078 0.0000 3.2331
Cr 6.2056 0.0000 1.2381
Cr 6.5325 0.0000 3.6965
Cr 8.5716 0.0000 1.6723
Ge -0.8485 0.0000 2.2356
```



(2)
CuAg3P | PBE-GGA | relaxed Values from VASP.

Calculated values
Volume   21.32 Å³ per atom
Excess energy over the best structure of this formula in the dataset   0.372 eV/atom

Geometry as Quantum ESPRESSO input:
```
&SYSTEM
  ibrav = 0, nat = 5, ntyp = 3
/
ATOMIC_SPECIES
Cu 63.55 Cu.upf
Ag 107.87 Ag.upf
P 30.97 P.upf
CELL_PARAMETERS angstrom
4.7415 0.0000 0.0000
0.0000 4.7415 0.0000
0.0000 0.0000 4.7415
ATOMIC_POSITIONS angstrom
Cu 0.0000 0.0000 0.0000
Ag 0.0000 0.0000 2.3708
Ag 0.0000 2.3708 0.0000
Ag 2.3708 0.0000 0.0000
P 2.3708 2.3708 2.3708
```



(3)
ZnTe2P | PBE-GGA | relaxed Values from VASP.

Calculated values
Volume   30.21 Å³ per atom
Excess energy over the best structure of this formula in the dataset   0.152 eV/atom
Formation energy from raw total energies   0.182 eV per atom

Geometry as Quantum ESPRESSO input:
```
&SYSTEM
  ibrav = 0, nat = 16, ntyp = 3
/
ATOMIC_SPECIES
Zn 65.41 Zn.upf
Te 127.60 Te.upf
P 30.97 P.upf
CELL_PARAMETERS angstrom
5.7621 0.0000 0.0000
0.0000 5.7621 0.0000
0.0000 0.0000 14.5577
ATOMIC_POSITIONS angstrom
Zn 0.0000 0.0000 0.0000
Zn 0.0000 2.8810 3.6394
Zn 2.8810 0.0000 10.9183
Zn 2.8810 2.8810 7.2788
Te 1.3902 1.4405 9.0986
Te 1.4405 4.2712 12.7380
Te 1.4405 4.3719 5.4591
Te 1.4909 1.4405 1.8197
Te 4.2712 4.3216 1.8197
Te 4.3216 1.3902 5.4591
Te 4.3216 1.4909 12.7380
Te 4.3719 4.3216 9.0986
P 0.0000 0.0000 7.2788
P 0.0000 2.8810 10.9183
P 2.8810 0.0000 3.6394
P 2.8810 2.8810 0.0000
```



(4)
Nb6IrW | PBE-GGA | relaxed Values from VASP.

Calculated values
Volume   17.63 Å³ per atom
Excess energy over the best structure of this formula in the dataset   0.010 eV/atom

Geometry as Quantum ESPRESSO input:
```
&SYSTEM
  ibrav = 0, nat = 8, ntyp = 3
/
ATOMIC_SPECIES
Nb 92.91 Nb.upf
Ir 192.22 Ir.upf
W 183.84 W.upf
CELL_PARAMETERS angstrom
5.2055 0.0000 0.0000
0.0000 5.2055 0.0000
0.0000 0.0000 5.2055
ATOMIC_POSITIONS angstrom
Nb 0.0000 1.3007 2.6027
Nb 0.0000 3.9048 2.6027
Nb 1.3007 2.6027 0.0000
Nb 2.6027 0.0000 1.3007
Nb 2.6027 0.0000 3.9048
Nb 3.9048 2.6027 0.0000
Ir 0.0000 0.0000 0.0000
W 2.6027 2.6027 2.6027
```



(5)
UMnTcRh | PBE-GGA | relaxed Values from VASP.

Calculated values
Volume   16.59 Å³ per atom
Electronic total energy   -153.9 eV per cell

Geometry as Quantum ESPRESSO input:
```
&SYSTEM
  ibrav = 0, nat = 16, ntyp = 4
/
ATOMIC_SPECIES
U 238.03 U.upf
Mn 54.94 Mn.upf
Tc 98.00 Tc.upf
Rh 102.91 Rh.upf
CELL_PARAMETERS angstrom
6.4273 0.0000 0.0000
0.0000 6.4273 0.0000
0.0000 0.0000 6.4273
ATOMIC_POSITIONS angstrom
U 0.0000 0.0000 0.0000
U 0.0000 3.2137 3.2137
U 3.2137 0.0000 3.2137
U 3.2137 3.2137 0.0000
Mn 0.0000 0.0000 3.2137
Mn 0.0000 3.2137 0.0000
Mn 3.2137 0.0000 0.0000
Mn 3.2137 3.2137 3.2137
Tc 1.6068 1.6068 1.6068
Tc 1.6068 4.8205 4.8205
Tc 4.8205 1.6068 4.8205
Tc 4.8205 4.8205 1.6068
Rh 1.6068 1.6068 4.8205
Rh 1.6068 4.8205 1.6068
Rh 4.8205 1.6068 1.6068
Rh 4.8205 4.8205 4.8205
```



(6)
Ca2AlW | PBE-GGA | relaxed Values from VASP.

Calculated values
Volume   21.90 Å³ per atom
Electronic total energy   -36.1 eV per cell

Geometry as Quantum ESPRESSO input:
```
&SYSTEM
  ibrav = 0, nat = 8, ntyp = 3
/
ATOMIC_SPECIES
Ca 40.08 Ca.upf
Al 26.98 Al.upf
W 183.84 W.upf
CELL_PARAMETERS angstrom
4.2434 0.0000 0.0000
0.0000 4.2434 0.0000
0.0000 0.0000 9.7282
ATOMIC_POSITIONS angstrom
Ca 0.0000 2.1217 2.4321
Ca 0.0000 2.1217 7.2962
Ca 2.1217 0.0000 2.4321
Ca 2.1217 0.0000 7.2962
Al 0.0000 0.0000 0.0000
Al 2.1217 2.1217 4.8641
W 0.0000 0.0000 4.8641
W 2.1217 2.1217 0.0000
```



(7)
Dy7Er2In2 | PBE-GGA | relaxed Values from VASP.

Calculated values
Volume   32.20 Å³ per atom
Electronic total energy   -45.1 eV per cell

Geometry as Quantum ESPRESSO input:
```
&SYSTEM
  ibrav = 0, nat = 11, ntyp = 3
/
ATOMIC_SPECIES
Dy 162.50 Dy.upf
Er 167.26 Er.upf
In 114.82 In.upf
CELL_PARAMETERS angstrom
3.3408 -5.8019 0.0000
3.3408 5.8019 0.0000
0.0000 0.0000 9.1359
ATOMIC_POSITIONS angstrom
Dy 0.0000 0.0000 0.0000
Dy 1.6704 2.9010 2.7272
Dy 1.6704 2.9010 6.4087
Dy 1.6704 -2.9010 2.7272
Dy 1.6704 -2.9010 6.4087
Dy 3.3408 0.0000 1.6930
Dy 3.3408 0.0000 7.4429
Er 1.6243 0.0000 4.5680
Er 5.0572 0.0000 4.5680
In 3.3408 2.6603 0.0000
In 3.3408 -2.6603 0.0000
```



(8)
La4Co3B6 | PBE-GGA | relaxed Values from VASP.

Calculated values
Volume   14.82 Å³ per atom
Electronic total energy   -85.2 eV per cell

Geometry as Quantum ESPRESSO input:
```
&SYSTEM
  ibrav = 0, nat = 13, ntyp = 3
/
ATOMIC_SPECIES
La 138.91 La.upf
Co 58.93 Co.upf
B 10.81 B.upf
CELL_PARAMETERS angstrom
2.6816 1.5482 7.7319
-2.6816 1.5482 7.7319
0.0000 -3.0964 7.7319
ATOMIC_POSITIONS angstrom
La 0.0000 0.0000 2.1058
La 0.0000 0.0000 5.6263
La 0.0000 0.0000 17.5694
La 0.0000 0.0000 21.0900
Co 0.0000 0.0000 8.9101
Co 0.0000 0.0000 11.5979
Co 0.0000 0.0000 14.2857
B -0.8917 -1.5519 7.7319
B -1.7899 0.0037 7.7319
B 0.8917 -1.5519 7.7319
B -0.8982 1.5482 7.7319
B 1.7899 0.0037 7.7319
B 0.8982 1.5482 7.7319
```